# 1
The following is a PBE calculation of a relaxed structure of ScSi3Ru, from Alexandria.

Formation energy from raw total energies, eV/f.u.: 1.35
Electronic total energy, eV/cell: -30.5

a b c (Å): 4.603 4.603 4.603
angles (deg): 90.00 90.00 90.00
Element x y z (fractional)
1 Sc 0.000 0.000 0.000
2 Si 0.000 0.500 0.500
3 Si 0.500 0.000 0.500
4 Si 0.500 0.500 0.000
5 Ru 0.500 0.500 0.500

# 2
The following is a PBE calculation of a relaxed structure of PmErCuRh, from Alexandria.

ΔH_f (0 K), eV per atom: -0.5432
Energy relative to the lowest polymorph listed for this composition, meV/atom: 0
Electronic total energy, eV/cell: -45.9

a b c (Å): 4.403 3.814 10.465
angles (deg): 90.00 90.00 90.00
Element x y z (fractional)
1 Pm 0.000 0.000 0.000
2 Pm 0.000 0.500 0.500
3 Er 0.500 0.000 0.722
4 Er 0.500 0.500 0.222
5 Cu 0.500 0.000 0.431
6 Cu 0.500 0.500 0.931
7 Rh 0.000 0.000 0.275
8 Rh 0.000 0.500 0.775

> Which of these has the highest electronic total energy?

ScSi3Ru

> Which value of electronic total energy does entry 1 give?

-30.5 eV/cell

> The highest electronic total energy belongs to which entry?

ScSi3Ru

Repeat the second record exactly.
The following is a PBE calculation of a relaxed structure of PmErCuRh, from Alexandria.

ΔH_f (0 K), eV per atom: -0.5432
Energy relative to the lowest polymorph listed for this composition, meV/atom: 0
Electronic total energy, eV/cell: -45.9

a b c (Å): 4.403 3.814 10.465
angles (deg): 90.00 90.00 90.00
Element x y z (fractional)
1 Pm 0.000 0.000 0.000
2 Pm 0.000 0.500 0.500
3 Er 0.500 0.000 0.722
4 Er 0.500 0.500 0.222
5 Cu 0.500 0.000 0.431
6 Cu 0.500 0.500 0.931
7 Rh 0.000 0.000 0.275
8 Rh 0.000 0.500 0.775